1.
The following is a PBE calculation of a relaxed structure of BaCd2Re, from Alexandria via LeMat-Bulk.

Output
Energy of formation   0.97 eV/atom
Space-group type   No. 216
V   26.13 A^3/atom

a = 5.2872 Å, b = 5.2872 Å, c = 5.2872 Å
α = 60.00°, β = 60.00°, γ = 60.00°
Positions (direct):
1 Cd 0.0000 0.0000 0.0000
2 Cd 0.2500 0.2500 0.2500
3 Ba 0.5000 0.5000 0.5000
4 Re 0.7500 0.7500 0.7500

---

2.
The following is a PBE calculation of a relaxed structure of Ba2CdRe, from Alexandria via LeMat-Bulk.

Output
Energy of formation   0.69 eV/atom
Space-group type   No. 99
V   34.07 A^3/atom

a = 3.8062 Å, b = 3.8062 Å, c = 9.4065 Å
α = 90.00°, β = 90.00°, γ = 90.00°
Positions (direct):
1 Ba 0.5000 0.5000 0.3409
2 Ba 0.0000 0.0000 0.9142
3 Re 0.5000 0.5000 0.6674
4 Cd 0.0000 0.0000 0.5775

---

3.
The following is a PBE calculation of a relaxed structure of BaCdRe, from Alexandria via LeMat-Bulk.

Output
Energy of formation   1.76 eV/atom
Space-group type   No. 216
V   35.81 A^3/atom

a = 5.3358 Å, b = 5.3358 Å, c = 5.3358 Å
α = 60.00°, β = 60.00°, γ = 60.00°
Positions (direct):
1 Re 0.5000 0.5000 0.5000
2 Cd 0.0000 0.0000 0.0000
3 Ba 0.7500 0.7500 0.7500

---

What did the third record say?
The following is a PBE calculation of a relaxed structure of BaCdRe, from Alexandria via LeMat-Bulk.

Output
Energy of formation   1.76 eV/atom
Space-group type   No. 216
V   35.81 A^3/atom

a = 5.3358 Å, b = 5.3358 Å, c = 5.3358 Å
α = 60.00°, β = 60.00°, γ = 60.00°
Positions (direct):
1 Re 0.5000 0.5000 0.5000
2 Cd 0.0000 0.0000 0.0000
3 Ba 0.7500 0.7500 0.7500

---

Look up the energy of formation of the third one. 1.76 eV/atom